A.
GGA-PBE NaNi2Os, optimized geometry; N(E_F) = 19.4 states/eV/cell
1.0
4.6736 0.0000 0.0000
0.0000 4.6736 0.0000
0.0000 0.0000 15.5895
Na Ni Os
4 8 4
direct
0.0000 0.0000 0.0000 Na
0.0000 0.5000 0.2500 Na
0.5000 0.0000 0.7500 Na
0.5000 0.5000 0.5000 Na
0.0534 0.2500 0.6250 Ni
0.2500 0.5534 0.8750 Ni
0.2500 0.9466 0.3750 Ni
0.4466 0.2500 0.1250 Ni
0.5534 0.7500 0.1250 Ni
0.7500 0.0534 0.3750 Ni
0.7500 0.4466 0.8750 Ni
0.9466 0.7500 0.6250 Ni
0.0000 0.0000 0.5000 Os
0.0000 0.5000 0.7500 Os
0.5000 0.0000 0.2500 Os
0.5000 0.5000 0.0000 Os

***

B.
GGA-PBE NaNi2Os, optimized geometry; N(E_F) = 21.0 states/eV/cell
1.0
6.0276 0.0000 0.0000
0.0000 6.0276 0.0000
0.0000 0.0000 6.0276
Na Ni Os
4 8 4
direct
0.0000 0.0000 0.0000 Na
0.0000 0.5000 0.5000 Na
0.5000 0.0000 0.5000 Na
0.5000 0.5000 0.0000 Na
0.2500 0.2500 0.2500 Ni
0.2500 0.2500 0.7500 Ni
0.2500 0.7500 0.2500 Ni
0.2500 0.7500 0.7500 Ni
0.7500 0.2500 0.2500 Ni
0.7500 0.2500 0.7500 Ni
0.7500 0.7500 0.2500 Ni
0.7500 0.7500 0.7500 Ni
0.0000 0.0000 0.5000 Os
0.0000 0.5000 0.0000 Os
0.5000 0.0000 0.0000 Os
0.5000 0.5000 0.5000 Os

***

It turns out B is the most stable, with the second structure 0.401 eV/atom higher.